# Dy6SiTe3Se2 (PBE, relaxed)
data_Dy6SiTe3Se2
_chemical_formula_sum 'Dy6 Si1 Te3 Se2'
_symmetry_space_group_name_H-M 'P 1'
_symmetry_Int_Tables_number 1
_cell_length_a 7.252
_cell_length_b 7.252
_cell_length_c 7.468
_cell_angle_alpha 99.29
_cell_angle_beta 99.29
_cell_angle_gamma 119.96
loop_
_symmetry_equiv_pos_as_xyz
'x,y,z'
loop_
_atom_site_label
_atom_site_type_symbol
_atom_site_fract_x
_atom_site_fract_y
_atom_site_fract_z
Dy1 Dy 0.928 0.607 0.784
Dy2 Dy 0.393 0.072 0.216
Dy3 Dy 0.607 0.928 0.784
Dy4 Dy 0.752 0.752 0.218
Dy5 Dy 0.072 0.393 0.216
Dy6 Dy 0.248 0.248 0.782
Te1 Te 0.500 0.500 0.500
Te2 Te 0.170 0.830 0.500
Te3 Te 0.830 0.170 0.500
Se1 Se 0.334 0.666 0.000
Se2 Se 0.666 0.334 0.000
Si1 Si 0.000 0.000 0.000
# Symmetry: No. 12
# Formation energy (no corrections) in meV per atom: -1443.1
# Fermi-level density of states in states/eV/cell: 4.79
# Magnetization in μB per cell: 0.000
# Uncorrected energy in eV per atom: -5.562

***

# Dy8Si3Te4Se (PBE, relaxed)
data_Dy8Si3Te4Se
_chemical_formula_sum 'Dy8 Si3 Te4 Se1'
_symmetry_space_group_name_H-M 'P 1'
_symmetry_Int_Tables_number 1
_cell_length_a 8.423
_cell_length_b 8.572
_cell_length_c 8.423
_cell_angle_alpha 119.42
_cell_angle_beta 120.00
_cell_angle_gamma 90.00
loop_
_symmetry_equiv_pos_as_xyz
'x,y,z'
loop_
_atom_site_label
_atom_site_type_symbol
_atom_site_fract_x
_atom_site_fract_y
_atom_site_fract_z
Te1 Te 0.500 0.000 0.500
Te2 Te 0.000 0.000 0.500
Te3 Te 0.500 0.000 0.000
Te4 Te 0.000 0.000 0.000
Dy1 Dy 0.269 0.281 0.025
Dy2 Dy 0.244 0.719 0.975
Dy3 Dy 0.756 0.281 0.511
Dy4 Dy 0.756 0.281 0.025
Dy5 Dy 0.260 0.280 0.520
Dy6 Dy 0.731 0.719 0.975
Dy7 Dy 0.740 0.720 0.480
Dy8 Dy 0.244 0.719 0.489
Si1 Si 0.500 0.500 0.500
Si2 Si 0.500 0.500 0.000
Si3 Si 0.000 0.500 0.500
Se1 Se 0.000 0.500 0.000
# Symmetry: No. 166
# Formation energy (no corrections) in meV per atom: -1254.8
# Fermi-level density of states in states/eV/cell: 3.74
# Magnetization in μB per cell: 0.000
# Uncorrected energy in eV per atom: -5.576

***

# Dy8Si3Te3Se (PBE, relaxed)
data_Dy8Si3Te3Se
_chemical_formula_sum 'Dy8 Si3 Te3 Se1'
_symmetry_space_group_name_H-M 'P 1'
_symmetry_Int_Tables_number 1
_cell_length_a 8.358
_cell_length_b 8.358
_cell_length_c 8.461
_cell_angle_alpha 119.60
_cell_angle_beta 90.00
_cell_angle_gamma 120.00
loop_
_symmetry_equiv_pos_as_xyz
'x,y,z'
loop_
_atom_site_label
_atom_site_type_symbol
_atom_site_fract_x
_atom_site_fract_y
_atom_site_fract_z
Dy1 Dy 0.249 0.498 0.726
Dy2 Dy 0.260 0.520 0.280
Dy3 Dy 0.740 0.480 0.720
Dy4 Dy 0.751 0.502 0.274
Dy5 Dy 0.751 0.023 0.274
Dy6 Dy 0.272 0.023 0.274
Dy7 Dy 0.249 0.977 0.726
Dy8 Dy 0.728 0.977 0.726
Si1 Si 0.500 0.500 0.500
Si2 Si 0.000 0.500 0.500
Si3 Si 0.500 0.000 0.500
Se1 Se 0.000 0.000 0.500
Te1 Te 0.500 0.500 0.000
Te2 Te 0.000 0.500 0.000
Te3 Te 0.000 0.000 0.000
# Symmetry: No. 166
# Formation energy (no corrections) in meV per atom: -1092.3
# Fermi-level density of states in states/eV/cell: 6.19
# Magnetization in μB per cell: 0.000
# Uncorrected energy in eV per atom: -5.492

***

# Dy4SiTeSe2 (PBE, relaxed)
data_Dy4SiTeSe2
_chemical_formula_sum 'Dy4 Si1 Te1 Se2'
_symmetry_space_group_name_H-M 'P 1'
_symmetry_Int_Tables_number 1
_cell_length_a 4.152
_cell_length_b 7.159
_cell_length_c 7.340
_cell_angle_alpha 70.65
_cell_angle_beta 90.00
_cell_angle_gamma 90.00
loop_
_symmetry_equiv_pos_as_xyz
'x,y,z'
loop_
_atom_site_label
_atom_site_type_symbol
_atom_site_fract_x
_atom_site_fract_y
_atom_site_fract_z
Dy1 Dy 0.500 0.258 0.729
Dy2 Dy 0.000 0.245 0.277
Dy3 Dy 0.500 0.742 0.271
Dy4 Dy 0.000 0.755 0.723
Te1 Te 0.500 0.500 0.000
Se1 Se 0.500 0.000 0.500
Se2 Se 0.000 0.000 0.000
Si1 Si 0.000 0.500 0.500
# Symmetry: No. 10
# Formation energy (no corrections) in meV per atom: -1448.9
# Fermi-level density of states in states/eV/cell: 2.77
# Magnetization in μB per cell: 0.000
# Uncorrected energy in eV per atom: -5.692

***

# Dy4TlSiSe2 (PBE, relaxed)
data_Dy4TlSiSe2
_chemical_formula_sum 'Dy4 Tl1 Si1 Se2'
_symmetry_space_group_name_H-M 'P 1'
_symmetry_Int_Tables_number 1
_cell_length_a 5.903
_cell_length_b 5.903
_cell_length_c 7.238
_cell_angle_alpha 114.07
_cell_angle_beta 114.07
_cell_angle_gamma 90.00
loop_
_symmetry_equiv_pos_as_xyz
'x,y,z'
loop_
_atom_site_label
_atom_site_type_symbol
_atom_site_fract_x
_atom_site_fract_y
_atom_site_fract_z
Si1 Si 0.750 0.250 0.500
Dy1 Dy 0.504 0.004 0.008
Dy2 Dy 0.241 0.241 0.483
Dy3 Dy 0.996 0.496 0.992
Dy4 Dy 0.759 0.759 0.517
Se1 Se 0.250 0.750 0.500
Se2 Se 0.000 0.000 0.000
Tl1 Tl 0.500 0.500 0.000
# Symmetry: No. 119
# Formation energy (no corrections) in meV per atom: -1118.3
# Fermi-level density of states in states/eV/cell: 4.36
# Magnetization in μB per cell: 0.000
# Uncorrected energy in eV per atom: -5.264

***

# Dy6TlSi2Se3 (PBE, relaxed)
data_Dy6TlSi2Se3
_chemical_formula_sum 'Dy6 Tl1 Si2 Se3'
_symmetry_space_group_name_H-M 'P 1'
_symmetry_Int_Tables_number 1
_cell_length_a 4.120
_cell_length_b 8.420
_cell_length_c 9.388
_cell_angle_alpha 106.11
_cell_angle_beta 102.68
_cell_angle_gamma 90.00
loop_
_symmetry_equiv_pos_as_xyz
'x,y,z'
loop_
_atom_site_label
_atom_site_type_symbol
_atom_site_fract_x
_atom_site_fract_y
_atom_site_fract_z
Se1 Se 0.834 0.172 0.667
Se2 Se 0.500 0.500 0.000
Se3 Se 0.166 0.828 0.333
Dy1 Dy 0.672 0.569 0.344
Dy2 Dy 0.328 0.908 0.655
Dy3 Dy 0.001 0.266 0.002
Dy4 Dy 0.672 0.092 0.345
Dy5 Dy 0.328 0.431 0.656
Dy6 Dy 0.999 0.734 0.998
Tl1 Tl 0.500 0.000 0.000
Si1 Si 0.164 0.326 0.328
Si2 Si 0.836 0.674 0.672
# Symmetry: No. 12
# Formation energy (no corrections) in meV per atom: -1185.3
# Fermi-level density of states in states/eV/cell: 4.68
# Magnetization in μB per cell: 0.000
# Uncorrected energy in eV per atom: -5.459

***

# Sm2DySe4 (PBE, relaxed)
data_Sm2DySe4
_chemical_formula_sum 'Sm4 Dy2 Se8'
_symmetry_space_group_name_H-M 'P 1'
_symmetry_Int_Tables_number 1
_cell_length_a 8.272
_cell_length_b 8.217
_cell_length_c 8.217
_cell_angle_alpha 60.73
_cell_angle_beta 59.78
_cell_angle_gamma 59.78
loop_
_symmetry_equiv_pos_as_xyz
'x,y,z'
loop_
_atom_site_label
_atom_site_type_symbol
_atom_site_fract_x
_atom_site_fract_y
_atom_site_fract_z
Dy1 Dy 0.000 0.500 0.000
Dy2 Dy 0.500 0.500 0.000
Se1 Se 0.743 0.752 0.762
Se2 Se 0.743 0.262 0.252
Se3 Se 0.257 0.738 0.748
Se4 Se 0.753 0.747 0.247
Se5 Se 0.257 0.248 0.238
Se6 Se 0.247 0.253 0.753
Se7 Se 0.748 0.253 0.753
Se8 Se 0.252 0.747 0.247
Sm1 Sm 0.000 0.000 0.000
Sm2 Sm 0.500 0.000 0.500
Sm3 Sm 0.000 0.000 0.500
Sm4 Sm 0.000 0.500 0.500
# Symmetry: No. 74
# Formation energy (no corrections) in meV per atom: -1873.1
# Fermi-level density of states in states/eV/cell: 4.07
# Distance to the lowest polymorph of the same formula in eV/f.u.: 0.00
# Magnetization in μB per cell: 0.000
# Uncorrected energy in eV per atom: -5.870

***

# Sm3Dy2Se8 (PBE, relaxed)
data_Sm3Dy2Se8
_chemical_formula_sum 'Sm3 Dy2 Se8'
_symmetry_space_group_name_H-M 'P 1'
_symmetry_Int_Tables_number 1
_cell_length_a 7.090
_cell_length_b 8.335
_cell_length_c 8.340
_cell_angle_alpha 119.98
_cell_angle_beta 107.13
_cell_angle_gamma 90.00
loop_
_symmetry_equiv_pos_as_xyz
'x,y,z'
loop_
_atom_site_label
_atom_site_type_symbol
_atom_site_fract_x
_atom_site_fract_y
_atom_site_fract_z
Se1 Se 0.929 0.121 0.242
Se2 Se 0.071 0.879 0.758
Se3 Se 0.583 0.635 0.747
Se4 Se 0.417 0.888 0.253
Se5 Se 0.417 0.365 0.253
Se6 Se 0.583 0.112 0.747
Se7 Se 0.898 0.620 0.240
Se8 Se 0.102 0.380 0.760
Sm1 Sm 0.000 0.738 0.000
Sm2 Sm 0.000 0.262 0.000
Sm3 Sm 0.500 0.000 0.000
Dy1 Dy 0.340 0.258 0.516
Dy2 Dy 0.660 0.742 0.484
# Symmetry: No. 12
# Formation energy (no corrections) in meV per atom: -1685.3
# Fermi-level density of states in states/eV/cell: 7.35
# Magnetization in μB per cell: 0.000
# Uncorrected energy in eV per atom: -5.627